Compound: Be4ZnIn
Source: the Alexandria database
Functional: GGA-PBEsol
Structure: optimized geometry

Its total moment is 0.00 μB per atom. For the energy of formation, the calculation gives 26.3 kJ per mole of atoms. As for the density of states at the Fermi level: 1.2 states/eV/f.u.

Cell: 4.591 4.591 4.591 Å, 60.00 60.00 60.00°
Fractional positions:
Be  0.374  0.374  0.374
Be  0.374  0.374  0.879
Be  0.879  0.374  0.374
Be  0.374  0.879  0.374
Zn  0.000  0.000  0.000
In  0.750  0.750  0.750

Compound: ZrCuSi
Source: the Alexandria database
Functional: GGA-PBEsol
Structure: optimized geometry

Its total moment is 0.00 μB per atom. As for the density of states at the Fermi level: 1.9 states/eV/f.u. The formation energy (no corrections) comes out at -196 kJ/mol of formula units.

Cell: 3.395 3.964 3.964 Å, 120.00 90.00 90.00°
Fractional positions:
Si  0.833  0.667  0.333
Cu  0.834  0.000  0.000
Zr  0.333  0.333  0.667

Compound: Be2TeP
Source: the Alexandria database
Functional: GGA-PBEsol
Structure: optimized geometry

Its total moment is 0.00 μB per atom. As for the density of states at the Fermi level: 1.6 states/eV/f.u. The energy above the lowest structure with this stoichiometry comes out at 52.3 kJ per mole of atoms. The formation energy (no corrections) comes out at 167 kJ/mol of formula units.

Cell: 3.454 3.292 6.726 Å, 90.00 90.00 121.64°
Fractional positions:
P  0.500  0.000  0.500
Te  0.500  0.000  0.000
Be  0.000  0.000  0.690
Be  0.000  0.000  0.310